No. 1
Computed, not measured: a relaxed structure of KLuPO at the GGA-PBE level of DFT.

Electronic total energy = -5.386 eV per atom
Relative energy among the computed polymorphs = 172 meV/atom
M_tot = 0.00 Bohr magnetons per cell

Structure (extended XYZ):
```
8
Lattice="3.919 0.000 0.000 0.000 3.919 0.000 0.000 0.000 10.446" Properties=species:S:1:pos:R:3 pbc="T T T"
K 0.980 2.939 0.000
K 2.939 0.980 0.000
Lu 0.980 0.980 4.221
Lu 2.939 2.939 6.226
P 0.980 0.980 8.032
P 2.939 2.939 2.414
O 0.980 2.939 5.223
O 2.939 0.980 5.223
```

=====

No. 2
Computed, not measured: a relaxed structure of Cu2Ag3 at the GGA-PBE level of DFT.

Electronic total energy = -3.092 eV per atom
ΔE_f = 89 meV/atom
Relative energy among the computed polymorphs = 57 meV/atom

Structure (extended XYZ):
```
10
Lattice="7.179 -1.941 0.000 7.179 1.941 0.000 -1.067 0.000 5.592" Properties=species:S:1:pos:R:3 pbc="T T T"
Cu 1.215 0.000 1.764
Cu 3.817 0.000 2.301
Cu 9.474 0.000 3.291
Cu 12.076 0.000 3.828
Ag 0.617 0.000 4.430
Ag 3.365 0.000 4.939
Ag 7.179 0.000 0.000
Ag 6.646 0.000 2.796
Ag 9.927 0.000 0.653
Ag 12.674 0.000 1.162
```

=====

No. 3
Computed, not measured: a relaxed structure of YErB5 at the GGA-PBE level of DFT.

Electronic total energy = -6.773 eV per atom
M_tot = 0.00 Bohr magnetons per cell

Structure (extended XYZ):
```
7
Lattice="-1.631 3.339 3.838 1.631 -3.339 3.838 1.631 3.339 -3.838" Properties=species:S:1:pos:R:3 pbc="T T T"
Y 0.000 0.000 0.000
Er 0.000 0.000 3.770
B 1.631 -1.580 1.864
B 1.631 0.000 1.897
B 1.631 1.580 1.864
B 0.000 2.421 1.855
B 0.000 4.257 1.855
```

=====

No. 4
Computed, not measured: a relaxed structure of Ba2HfRe at the GGA-PBE level of DFT.

Electronic total energy = -5.410 eV per atom
M_tot = 0.00 Bohr magnetons per cell

Structure (extended XYZ):
```
4
Lattice="0.000 3.798 3.798 3.798 0.000 3.798 3.798 3.798 0.000" Properties=species:S:1:pos:R:3 pbc="T T T"
Ba 0.000 0.000 0.000
Ba 1.899 1.899 1.899
Hf 5.697 5.697 5.697
Re 3.798 3.798 3.798
```